Record 1
Here is an optimized crystal structure of LaCd2Te from Alexandria via LeMat-Bulk. Energies are from PBE.

Cell lengths 6.699, 6.699, 6.699 Å; angles 141.16, 141.16, 56.10 degrees
Element x y z (fractional)
La  0.000  0.000  0.000
Cd  0.250  0.750  0.500
Cd  0.750  0.250  0.500
Te  0.500  0.500  0.000

Output
Final energy = -0.1144 Ha/atom
E_form (uncorrected) = -14.75 kcal/mol of atoms

Record 2
Here is an optimized crystal structure of La2CdTe from Alexandria via LeMat-Bulk. Energies are from PBE.

Cell lengths 6.535, 6.535, 6.535 Å; angles 138.32, 138.32, 60.41 degrees
Element x y z (fractional)
La  0.000  0.000  0.000
La  0.750  0.250  0.500
Cd  0.500  0.500  0.000
Te  0.250  0.750  0.500

Output
Final energy = -0.1534 Ha/atom
Polymorph energy (0 for the lowest one) = 157.2 meV/atom
E_form (uncorrected) = -16.07 kcal/mol of atoms

Record 3
Here is an optimized crystal structure of La2CdTe2 from Alexandria via LeMat-Bulk. Energies are from PBE.

Cell lengths 8.792, 8.792, 4.193 Å; angles 90.00, 90.00, 90.00 degrees
Element x y z (fractional)
La  0.152  0.348  0.000
La  0.348  0.848  0.000
La  0.652  0.152  0.000
La  0.848  0.652  0.000
Cd  0.000  0.000  0.000
Cd  0.500  0.500  0.000
Te  0.148  0.648  0.500
Te  0.352  0.148  0.500
Te  0.648  0.852  0.500
Te  0.852  0.352  0.500

Output
Final energy = -0.1652 Ha/atom
Polymorph energy (0 for the lowest one) = 0.0 meV/atom
E_form (uncorrected) = -25.04 kcal/mol of atoms

Record 4
Here is an optimized crystal structure of La2CdTe from Alexandria via LeMat-Bulk. Energies are from PBE.

Cell lengths 5.560, 5.560, 5.560 Å; angles 60.00, 60.00, 60.00 degrees
Element x y z (fractional)
La  0.250  0.250  0.250
La  0.750  0.750  0.750
Cd  0.000  0.000  0.000
Te  0.500  0.500  0.500

Output
Final energy = -0.1544 Ha/atom
Polymorph energy (0 for the lowest one) = 131.1 meV/atom
E_form (uncorrected) = -16.67 kcal/mol of atoms

Record 5
Here is an optimized crystal structure of La2CdTe from Alexandria via LeMat-Bulk. Energies are from PBE.

Cell lengths 8.466, 8.466, 8.466 Å; angles 30.40, 30.40, 30.40 degrees
Element x y z (fractional)
La  0.247  0.247  0.247
La  0.753  0.753  0.753
Cd  0.000  0.000  0.000
Te  0.500  0.500  0.500

Output
Final energy = -0.1592 Ha/atom
Polymorph energy (0 for the lowest one) = 0.0 meV/atom
E_form (uncorrected) = -19.70 kcal/mol of atoms

Record 6
Here is an optimized crystal structure of La2CdTe from Alexandria via LeMat-Bulk. Energies are from PBE.

Cell lengths 4.044, 4.044, 7.446 Å; angles 90.00, 90.00, 90.00 degrees
Element x y z (fractional)
La  0.000  0.000  0.246
La  0.000  0.000  0.754
Cd  0.500  0.500  0.500
Te  0.500  0.500  0.000

Output
Final energy = -0.1588 Ha/atom
Polymorph energy (0 for the lowest one) = 11.1 meV/atom
E_form (uncorrected) = -19.44 kcal/mol of atoms

Record 7
Here is an optimized crystal structure of LaCd2Te from Alexandria via LeMat-Bulk. Energies are from PBE.

Cell lengths 4.546, 4.566, 5.449 Å; angles 90.00, 90.00, 90.00 degrees
Element x y z (fractional)
La  0.000  0.000  0.000
Cd  0.000  0.500  0.500
Cd  0.500  0.000  0.500
Te  0.500  0.500  0.000

Output
Final energy = -0.1149 Ha/atom
E_form (uncorrected) = -15.02 kcal/mol of atoms

Record 8
Here is an optimized crystal structure of La2CdTe from Alexandria via LeMat-Bulk. Energies are from PBE.

Cell lengths 9.856, 9.856, 9.856 Å; angles 24.42, 24.42, 24.42 degrees
Element x y z (fractional)
La  0.000  0.000  0.000
La  0.230  0.230  0.230
Cd  0.476  0.476  0.476
Te  0.741  0.741  0.741

Output
Final energy = -0.1422 Ha/atom
Polymorph energy (0 for the lowest one) = 461.8 meV/atom
E_form (uncorrected) = -9.05 kcal/mol of atoms

Record 9
Here is an optimized crystal structure of LaCdTe from Alexandria via LeMat-Bulk. Energies are from PBE.

Cell lengths 5.333, 5.333, 5.333 Å; angles 60.00, 60.00, 60.00 degrees
Element x y z (fractional)
La  0.000  0.000  0.000
Cd  0.500  0.500  0.500
Te  0.750  0.750  0.750

Output
Final energy = -0.1298 Ha/atom
Polymorph energy (0 for the lowest one) = 391.1 meV/atom
E_form (uncorrected) = -12.41 kcal/mol of atoms

Record 10
Here is an optimized crystal structure of LaCd2Te from Alexandria via LeMat-Bulk. Energies are from PBE.

Cell lengths 4.225, 4.225, 6.490 Å; angles 90.00, 90.00, 90.00 degrees
Element x y z (fractional)
La  0.000  0.000  0.000
Cd  0.500  0.500  0.264
Cd  0.500  0.500  0.736
Te  0.000  0.000  0.500

Output
Final energy = -0.1052 Ha/atom
E_form (uncorrected) = -8.97 kcal/mol of atoms

Record 11
Here is an optimized crystal structure of LaCdTe from Alexandria via LeMat-Bulk. Energies are from PBE.

Cell lengths 5.117, 5.117, 3.967 Å; angles 90.00, 90.00, 120.00 degrees
Element x y z (fractional)
La  0.000  0.000  0.000
Cd  0.333  0.667  0.589
Te  0.667  0.333  0.469

Output
Final energy = -0.1346 Ha/atom
Polymorph energy (0 for the lowest one) = 262.7 meV/atom
E_form (uncorrected) = -15.37 kcal/mol of atoms

Record 12
Here is an optimized crystal structure of La2CdTe from Alexandria via LeMat-Bulk. Energies are from PBE.

Cell lengths 5.780, 5.780, 5.780 Å; angles 126.60, 126.35, 79.10 degrees
Element x y z (fractional)
La  0.250  0.250  0.000
La  0.750  0.750  0.000
Cd  0.500  0.000  0.500
Te  0.000  0.500  0.500

Output
Final energy = -0.1553 Ha/atom
Polymorph energy (0 for the lowest one) = 106.9 meV/atom
E_form (uncorrected) = -17.23 kcal/mol of atoms